Compound: TaFePt3
Source: the Alexandria database
Functional: PBE
Structure: optimized geometry

a = 4.501 Å, b = 4.501 Å, c = 4.501 Å
α = 90.00°, β = 90.00°, γ = 90.00°
Fractional positions:
Fe 0.000 0.000 0.000
Pt 0.000 0.500 0.000
Pt 0.000 0.000 0.500
Pt 0.500 0.000 0.000
Ta 0.500 0.500 0.500

Computed properties:
space-group type	Pm-3m (221)
VASP energy	-6.6099	eV/atom
energy above the lowest structure with this stoichiometry	1610	meV per atom
crystal system	cubic
energy of formation	1.078	eV per atom